1.
7
Lattice="-3.6694 -3.0257 -2.9381 2.5175 1.5532 -4.7436 4.6226 -4.5697 4.2511" Properties=species:S:1:pos:R:3 comment="Ac2PrAu4 (GGA-PBE, optimized geometry)" crystal_system=tetragonal delta_e_f_mev_per_atom=-663.8 pbc="T T T"
Ac 1.1527 -3.0029 -3.6656
Ac 2.3180 -3.0394 0.2350
Au 1.3101 -5.6363 -1.1502
Au 4.4035 -3.3469 -2.0530
Au 2.1606 -0.4059 -2.2804
Au -0.9329 -2.6954 -1.3776
Pr 0.0000 0.0000 0.0000

2.
3
Lattice="-0.9056 -4.3595 1.5277 -0.7047 -3.4787 -3.0921 3.2275 -3.3892 -0.5058" Properties=species:S:1:pos:R:3 comment="TbZnCd (GGA-PBE, optimized geometry)" crystal_system=cubic delta_e_f_mev_per_atom=-181.1 pbc="T T T"
Tb 0.0000 0.0000 0.0000
Cd 0.8086 -5.6137 -1.0351
Zn 0.4043 -2.8068 -0.5175

3.
20
Lattice="-3.5574 2.9127 2.8324 -0.5600 -7.9145 7.4356 9.4896 9.1296 2.5302" Properties=species:S:1:pos:R:3 comment="Ac6AgHg3 (GGA-PBE, optimized geometry)" crystal_system=monoclinic delta_e_f_mev_per_atom=-281.7 pbc="T T T"
Ag 0.7495 4.7364 3.7923
Ag 4.6228 -0.6086 9.0058
Ac 0.1817 1.1877 1.5807
Ac -1.7775 -3.1918 8.7714
Ac 2.2342 -2.7663 8.2246
Ac -0.2519 1.9863 5.3626
Ac 5.1905 2.9400 11.2174
Ac 7.1498 7.3195 4.0267
Ac 2.0310 1.4350 8.7969
Ac -0.0515 -2.2375 4.8102
Ac 5.4237 6.3652 7.9880
Ac 5.6242 2.1414 7.4355
Ac 3.1380 6.8940 4.5735
Ac 3.3412 2.6927 4.0013
Hg 5.7744 4.6070 5.0888
Hg 2.8871 4.2247 7.0033
Hg 2.4851 -0.0970 5.7948
Hg 8.0619 3.9296 8.6584
Hg -0.4022 -0.4792 7.7093
Hg -2.6896 0.1982 4.1398

4.
8
Lattice="7.7324 0.0000 0.0000 0.0000 7.7324 0.0000 3.8662 3.8662 2.6483" Properties=species:S:1:pos:R:3 comment="TiCd2Rh (GGA-PBE, optimized geometry)" crystal_system=tetragonal delta_e_f_mev_per_atom=280.7 pbc="T T T"
Cd 1.7540 5.7993 0.6621
Cd 5.9783 1.9331 0.6621
Cd 5.7993 5.6202 1.9862
Cd 9.6654 9.8445 1.9862
Ti 3.8662 7.7324 1.3241
Ti 3.8662 3.8662 0.0000
Rh 0.0000 0.0000 0.0000
Rh 7.7324 3.8662 1.3241

5.
4
Lattice="3.6483 0.0000 0.0000 1.8242 3.1595 0.0000 1.8242 1.0532 9.8050" Properties=species:S:1:pos:R:3 comment="LaTm2Cu (GGA-PBE, optimized geometry)" crystal_system=trigonal e_above_lowest_polymorph_mev_per_atom=130 delta_e_f_mev_per_atom=20.7 pbc="T T T"
Tm 1.8242 1.0532 1.8882
Tm 5.4725 3.1595 7.9168
La 3.6483 2.1064 4.9025
Cu 0.0000 0.0000 0.0000

6.
3
Lattice="4.9399 0.0000 0.0000 2.4699 4.2781 0.0000 2.4699 1.4260 4.0334" Properties=species:S:1:pos:R:3 comment="NdHoPt (GGA-PBE, optimized geometry)" crystal_system=cubic e_above_lowest_polymorph_mev_per_atom=75 delta_e_f_mev_per_atom=-789.8 pbc="T T T"
Pt 2.4699 1.4260 1.0084
Nd 0.0000 0.0000 0.0000
Ho 4.9399 2.8520 2.0167

Calculated size of the total moment in order - 0.00 0.00 0.00 2.30 0.00 0.00 Bohr magnetons per cell